KBiF6, optimized geometry, DFT GGA-PBE; calculated volume = 168.1 Å³/f.u.; space group = P-31c, No. 163; total magnetization = 0.136 μB/f.u.; raw formation energy = -2.21 eV/atom
1.0
-1.334 -0.821 5.620
-3.903 -1.281 -4.142
4.102 -10.625 -0.578
F K Bi
12 2 2
Cartesian
1.352 -6.802 -1.509
0.640 -4.793 3.784
-2.488 -5.926 2.409
0.860 -10.434 -3.461
-1.272 -7.934 0.680
0.136 -4.793 0.220
-1.161 -11.368 -0.632
-3.308 -2.619 1.024
2.173 -10.109 -0.124
-1.776 -7.935 -2.885
0.026 -1.360 1.532
-1.996 -2.294 4.360
-2.022 -3.784 -1.033
0.886 -8.943 1.932
2.051 -5.313 -0.289
0.000 0.000 0.000